No. 1
Computed, not measured: a relaxed structure of KRb3Ir at the GGA-PBE level of DFT.

Cell: 6.5890 6.5890 6.5890 Å, 90.00 90.00 90.00°
Fractional positions:
1 K 0.0000 0.0000 0.0000
2 Rb 0.0000 0.5000 0.5000
3 Rb 0.5000 0.0000 0.5000
4 Rb 0.5000 0.5000 0.0000
5 Ir 0.5000 0.5000 0.5000

Values from the calculation:
theoretical density	2.83	Mg/m³
M_tot	0.00	μB/f.u.
formation energy	0.64	eV/atom


No. 2
Computed, not measured: a relaxed structure of Pr8Nd3Mg at the GGA-PBE level of DFT.

Cell: 10.1784 10.1784 12.4704 Å, 105.31 105.31 20.07°
Fractional positions:
1 Pr 0.0000 0.0000 0.0000
2 Pr 0.1848 0.1848 0.7398
3 Pr 0.3294 0.3294 0.0169
4 Pr 0.5102 0.5102 0.7419
5 Pr 0.5625 0.5625 0.4989
6 Pr 0.7388 0.7388 0.5051
7 Pr 0.7837 0.7837 0.2526
8 Pr 0.9541 0.9541 0.2543
9 Nd 0.6071 0.6071 0.2445
10 Nd 0.6609 0.6609 0.9901
11 Nd 0.8523 0.8523 0.7697
12 Mg 0.9095 0.9095 0.5105

Values from the calculation:
theoretical density	6.16	Mg/m³
M_tot	0.00	μB/f.u.
formation energy	0.13	eV/atom


No. 3
Computed, not measured: a relaxed structure of ErCdCl at the GGA-PBE level of DFT.

Cell: 15.6557 3.5855 3.5855 Å, 60.00 90.00 90.00°
Fractional positions:
1 Er 0.1550 0.0000 0.0000
2 Er 0.8450 0.0000 0.0000
3 Cd 0.0000 0.6667 0.6667
4 Cd 0.5000 0.9811 0.9811
5 Cl 0.2705 0.6666 0.6666
6 Cl 0.7295 0.6666 0.6666

Values from the calculation:
theoretical density	6.00	Mg/m³
VASP energy	-3.34	eV/atom
M_tot	0.33	μB/f.u.


No. 4
Computed, not measured: a relaxed structure of Tb3CdAg4 at the GGA-PBE level of DFT.

Cell: 8.8185 8.8185 8.8185 Å, 33.36 33.36 33.36°
Fractional positions:
1 Tb 0.0000 0.0000 0.0000
2 Tb 0.2448 0.2448 0.2448
3 Tb 0.7552 0.7552 0.7552
4 Cd 0.5000 0.5000 0.5000
5 Ag 0.1232 0.1232 0.1232
6 Ag 0.3725 0.3725 0.3725
7 Ag 0.6275 0.6275 0.6275
8 Ag 0.8768 0.8768 0.8768

Values from the calculation:
polymorph energy (0 for the lowest one)	0	meV per atom
theoretical density	9.18	Mg/m³
M_tot	0.00	μB/f.u.
formation energy	-0.28	eV/atom


No. 5
Computed, not measured: a relaxed structure of Pm4Tl2Ga at the GGA-PBE level of DFT.

Cell: 7.9179 3.6402 8.3109 Å, 90.00 113.41 90.00°
Fractional positions:
1 Pm 0.0787 0.0000 0.3153
2 Pm 0.3674 0.5000 0.7183
3 Pm 0.6326 0.5000 0.2817
4 Pm 0.9213 0.0000 0.6847
5 Tl 0.2084 0.5000 0.0281
6 Tl 0.7916 0.5000 0.9719
7 Ga 0.5000 0.0000 0.5000

Values from the calculation:
polymorph energy (0 for the lowest one)	100	meV per atom
theoretical density	8.00	Mg/m³
M_tot	0.00	μB/f.u.
formation energy	-0.17	eV/atom


No. 6
Computed, not measured: a relaxed structure of Dy3InTc at the GGA-PBE level of DFT.

Cell: 6.8680 6.8680 8.5618 Å, 111.88 111.88 45.73°
Fractional positions:
1 Dy 0.0778 0.0778 0.2356
2 Dy 0.2136 0.2136 0.7229
3 Dy 0.4132 0.4132 0.1189
4 Dy 0.5868 0.5868 0.8811
5 Dy 0.7864 0.7864 0.2771
6 Dy 0.9222 0.9222 0.7644
7 In 0.3771 0.3771 0.5004
8 In 0.6229 0.6229 0.4996
9 Tc 0.1824 0.1824 0.0204
10 Tc 0.8176 0.8176 0.9796

Values from the calculation:
polymorph energy (0 for the lowest one)	87	meV per atom
theoretical density	8.79	Mg/m³
M_tot	0.00	μB/f.u.
formation energy	-0.14	eV/atom


What is the M_tot in the sixth record? 0.00 μB/f.u.